The following is a DFT calculation (PBE-GGA) of an optimized crystal structure of Ce2Sm4Ge3O2.

Geometry as extended XYZ:
```
11
Lattice="4.6697 0.0000 0.0000 0.0000 4.6697 0.0000 -2.3348 -2.3348 12.1955" Properties=species:S:1:pos:R:3 pbc="T T T"
Sm 2.3348 0.0000 1.9298
Sm 0.0000 2.3348 1.9298
Sm 0.0000 2.3348 10.2657
Sm 2.3348 0.0000 10.2657
Ge 2.3348 2.3348 7.9464
Ge 0.0000 0.0000 4.2491
Ge 0.0000 0.0000 0.0000
O 2.3348 2.3348 2.4917
O 0.0000 0.0000 9.7039
Ce 2.3348 2.3348 4.8245
Ce 0.0000 0.0000 7.3710
```

Output
**Total moment**: 0.162 μB/atom
**Uncorrected formation energy**: -1.475 eV per atom
**Volume**: 266 Å³/cell
**Space group**: No. 139

The following is a DFT calculation (PBE-GGA) of an optimized crystal structure of LiNbAu3.

Geometry as extended XYZ:
```
5
Lattice="5.1771 0.0000 0.0000 0.0000 5.1771 0.0000 0.0000 0.0000 5.1771" Properties=species:S:1:pos:R:3 pbc="T T T"
Au 2.5885 0.0000 0.0000
Au 0.0000 0.0000 2.5885
Au 0.0000 2.5885 0.0000
Li 2.5885 2.5885 2.5885
Nb 0.0000 0.0000 0.0000
```

Output
**Total moment**: 0.000 μB/atom
**Volume**: 139 Å³/cell
**Space group**: No. 221
**ΔE_f**: 0.5662 eV per atom

The following is a DFT calculation (PBE-GGA) of an optimized crystal structure of SrZnSeF2.

Geometry as extended XYZ:
```
5
Lattice="-0.7028 4.3742 0.5682 -6.3409 -1.2034 1.4212 1.0441 -0.3940 4.3250" Properties=species:S:1:pos:R:3 pbc="T T T"
Sr 0.0000 0.0000 0.0000
Se -3.1704 -0.6017 0.7106
Zn -2.9998 1.3884 3.1572
F 0.5221 -0.1970 2.1625
F -0.3514 2.1871 0.2841
```

Output
**Total moment**: 0.000 μB/atom
**Uncorrected formation energy**: -1.834 eV per atom
**Volume**: 132 Å³/cell
**Space group**: No. 123

The following is a DFT calculation (PBE-GGA) of an optimized crystal structure of Zn2CdRh3.

Geometry as extended XYZ:
```
6
Lattice="-1.9885 -1.3429 -1.9122 0.9135 -2.7579 0.9868 -6.6301 0.2166 6.7428" Properties=species:S:1:pos:R:3 pbc="T T T"
Rh -4.5791 0.1496 4.6569
Rh 0.0000 0.0000 0.0000
Rh -2.0510 0.0670 2.0859
Cd -3.8526 -1.9421 2.9087
Zn -1.5761 -2.0165 0.5936
Zn -6.1290 -1.8678 5.2238
```

Output
**Total moment**: 0.000 μB/atom
**Volume**: 89 Å³/cell
**Space group**: No. 123
**ΔE_f**: -0.2685 eV per atom

The following is a DFT calculation (PBE-GGA) of an optimized crystal structure of MnCrCdSe2.

Geometry as extended XYZ:
```
5
Lattice="5.2801 0.0000 0.0000 0.0000 5.0307 0.0000 0.0000 0.0000 5.2801" Properties=species:S:1:pos:R:3 pbc="T T T"
Cr 0.0000 2.5153 0.0000
Mn 2.6401 2.5153 2.6401
Se 2.6401 0.0000 0.0000
Se 0.0000 0.0000 2.6401
Cd 0.0000 0.0000 0.0000
```

Output
**Total moment**: 1.945 μB/atom
**Uncorrected formation energy**: 1.045 eV per atom
**Volume**: 140 Å³/cell
**Space group**: No. 123

The following is a DFT calculation (PBE-GGA) of an optimized crystal structure of Mg2PaIO8.

Geometry as extended XYZ:
```
12
Lattice="4.7073 -0.0796 -0.0025 -0.0703 4.7079 -0.0050 0.0038 0.0072 6.7295" Properties=species:S:1:pos:R:3 pbc="T T T"
Pa 0.0019 0.0036 3.3648
O 1.3276 1.3267 6.7274
O 3.2169 3.2140 3.3595
O 3.8014 0.8318 1.4295
O 0.8373 3.7995 1.4279
O 3.8036 0.8359 5.2941
O 0.8395 3.8037 5.2925
O 3.3133 3.3088 -0.0054
O 1.4240 1.4215 3.3625
Mg 2.3214 2.3196 5.1317
Mg 2.3194 2.3159 1.5903
I 0.0000 0.0000 0.0000
```

Output
**Total moment**: 0.000 μB/atom
**Uncorrected formation energy**: -2.033 eV per atom
**Volume**: 149 Å³/cell
**Space group**: No. 65

| no. | electronic total energy (eV/atom) | theoretical density (g/cm3) |
| --- | --- | --- |
| 1 | -6.43 | 7.07 |
| 2 | -3.80 | 8.27 |
| 3 | -3.87 | 3.40 |
| 4 | -4.52 | 10.29 |
| 5 | -4.29 | 4.47 |
| 6 | -6.52 | 5.95 |